This record from Alexandria describes an optimized crystal structure of Tb5Pm12Tm. The functional is PBE.

Results
- space group = No. 12
- density (g/cm3) = 7.4
- uncorrected energy (Ry per atom) = -0.33749
- M_tot (μB per atom) = 0.000
- energy of formation (eV/atom) = 0.1099
- crystal system = monoclinic

abc: 10.603 10.603 5.995
angles: 90.01 90.01 116.43
Sites, in units of the cell vectors:
1 Tb 0.000 0.000 0.000
2 Tb 0.170 0.830 0.500
3 Tb 0.331 0.669 0.000
4 Tb 0.669 0.331 0.000
5 Tb 0.830 0.170 0.500
6 Pm 0.001 0.671 0.990
7 Pm 0.159 0.159 0.491
8 Pm 0.172 0.500 0.510
9 Pm 0.329 0.999 0.010
10 Pm 0.340 0.340 0.991
11 Pm 0.500 0.172 0.510
12 Pm 0.500 0.828 0.490
13 Pm 0.660 0.660 0.009
14 Pm 0.671 0.001 0.990
15 Pm 0.828 0.500 0.490
16 Pm 0.841 0.841 0.509
17 Pm 0.999 0.329 0.010
18 Tm 0.500 0.500 0.500